The following is a DFT calculation (GGA-PBE) of a geometry-optimized BaLiCo structure.

Lattice parameters (Å, degrees): 5.977 5.976 3.631 72.32 72.31 35.37
Each line ends with the local moment (μB).
Element x y z (fractional)
Ba1 0.990 0.990 0.010  -0.17
Co1 0.293 0.293 0.707  1.38
Li1 0.717 0.717 0.283  -0.06

Results
For the calculated volume, the calculation gives 23.717 Å³/atom. The crystal system is tetragonal. As for the space group: I4mm (107). Its total energy is -3.101 eV/atom.

The following is a DFT calculation (GGA-PBE) of a geometry-optimized Ce2Nd5Pt4 structure.

Lattice parameters (Å, degrees): 3.838 6.993 12.574 87.93 98.78 90.00
Each line ends with the local moment (μB).
Element x y z (fractional)
Ce1 0.911 0.649 0.821  0.80
Ce2 0.089 0.351 0.179  0.80
Nd1 0.135 0.827 0.270  0.04
Nd2 0.865 0.173 0.730  0.04
Nd3 0.231 0.268 0.462  0.03
Nd4 0.500 0.000 0.000  0.04
Nd5 0.769 0.732 0.538  0.03
Pt1 0.669 0.516 0.337  -0.01
Pt2 0.025 0.695 0.050  -0.01
Pt3 0.331 0.484 0.663  -0.01
Pt4 0.975 0.305 0.950  -0.01

Results
For the calculated volume, the calculation gives 30.299 Å³/atom. The crystal system is monoclinic. As for the space group: C2/m (12). Its total energy is -6.014 eV/atom.